Record 1
## Pm2S3Br (PBE)

Data for a relaxed structure of Pm2S3Br.

Calculated values
Total magnetization ... 0.00 μB per formula unit
D(E_F) ... 7.0 states/eV per cell

Cell and atoms, written as POSCAR:
```
Pm2S3Br
1.0
4.215 -4.981 0.000
4.215 4.981 0.000
-0.018 0.000 7.324
Pm S Br
4 6 2
Direct
0.219 0.781 0.000
0.223 0.777 0.500
0.777 0.223 0.500
0.781 0.219 0.000
0.043 0.043 0.251
0.056 0.460 0.750
0.460 0.056 0.750
0.540 0.944 0.250
0.944 0.540 0.250
0.957 0.957 0.749
0.426 0.426 0.253
0.574 0.574 0.747
```


Record 2
## Pm5S4Br (PBE)

Data for a relaxed structure of Pm5S4Br.

Calculated values
Total magnetization ... 0.00 μB per formula unit
D(E_F) ... 6.3 states/eV per cell

Cell and atoms, written as POSCAR:
```
Pm5S4Br
1.0
1.994 1.151 17.571
-1.994 1.151 17.571
0.000 -2.303 17.571
Pm S Br
5 4 1
Direct
0.000 0.000 0.000
0.209 0.209 0.209
0.398 0.398 0.398
0.602 0.602 0.602
0.791 0.791 0.791
0.095 0.095 0.095
0.301 0.301 0.301
0.699 0.699 0.699
0.905 0.905 0.905
0.500 0.500 0.500
```


Record 3
## Pm2SBr2 (PBE)

Data for a relaxed structure of Pm2SBr2.

Calculated values
Total magnetization ... 0.00 μB per formula unit
D(E_F) ... 1.5 states/eV per cell

Cell and atoms, written as POSCAR:
```
Pm2SBr2
1.0
2.048 1.182 10.569
-2.048 1.182 10.569
0.000 -2.364 10.569
Pm S Br
2 1 2
Direct
0.120 0.120 0.120
0.880 0.880 0.880
0.500 0.500 0.500
0.273 0.273 0.273
0.727 0.727 0.727
```


Record 4
## PmSBr (PBE)

Data for a relaxed structure of PmSBr.

Calculated values
Total magnetization ... 0.00 μB per formula unit
D(E_F) ... 0.0 states/eV per cell

Cell and atoms, written as POSCAR:
```
PmSBr
1.0
4.237 0.000 0.000
0.000 5.471 0.000
-1.680 0.000 9.961
Pm S Br
2 2 2
Direct
0.201 0.250 0.377
0.799 0.750 0.623
0.225 0.750 0.436
0.775 0.250 0.564
0.379 0.750 0.824
0.621 0.250 0.176
```


Record 5
## Pm2SBr (PBE)

Data for a relaxed structure of Pm2SBr.

Calculated values
Total magnetization ... 0.13 μB per formula unit
D(E_F) ... 4.2 states/eV per cell

Cell and atoms, written as POSCAR:
```
Pm2SBr
1.0
2.275 1.314 7.715
-2.275 1.314 7.715
0.000 -2.627 7.715
Pm S Br
2 1 1
Direct
0.000 0.000 0.000
0.451 0.451 0.451
0.324 0.324 0.324
0.862 0.862 0.862
```


Record 6
## Pm6Si3S2Br (PBE)

Data for a relaxed structure of Pm6Si3S2Br.

Calculated values
Total magnetization ... 0.00 μB per formula unit
D(E_F) ... 2.5 states/eV per cell

Cell and atoms, written as POSCAR:
```
Pm6Si3S2Br
1.0
9.136 -2.098 0.000
9.136 2.098 0.000
-1.902 0.000 8.190
Pm Si S Br
6 3 2 1
Direct
0.001 0.001 0.269
0.326 0.326 0.915
0.334 0.334 0.415
0.666 0.666 0.585
0.674 0.674 0.085
0.999 0.999 0.731
0.164 0.164 0.833
0.500 0.500 0.500
0.836 0.836 0.167
0.167 0.167 0.333
0.833 0.833 0.667
0.500 0.500 0.000
```


Record 7
## Pm6Si2S3Br (PBE)

Data for a relaxed structure of Pm6Si2S3Br.

Calculated values
Total magnetization ... 0.00 μB per formula unit
D(E_F) ... 3.8 states/eV per cell

Cell and atoms, written as POSCAR:
```
Pm6Si2S3Br
1.0
9.016 -2.063 0.000
9.016 2.063 0.000
-1.786 0.000 8.183
Pm Si S Br
6 2 3 1
Direct
0.004 0.004 0.280
0.324 0.324 0.903
0.333 0.333 0.416
0.667 0.667 0.584
0.676 0.676 0.097
0.996 0.996 0.720
0.166 0.166 0.333
0.834 0.834 0.667
0.162 0.162 0.838
0.500 0.500 0.500
0.838 0.838 0.162
0.500 0.500 0.000
```


Record 8
## Pm8Si3SBr4 (PBE)

Data for a relaxed structure of Pm8Si3SBr4.

Calculated values
Total magnetization ... 0.00 μB per formula unit
D(E_F) ... 6.8 states/eV per cell

Cell and atoms, written as POSCAR:
```
Pm8Si3SBr4
1.0
4.190 2.419 7.288
-4.190 2.419 7.288
0.000 -4.838 7.288
Pm Si S Br
8 3 1 4
Direct
0.237 0.237 0.237
0.237 0.734 0.734
0.266 0.266 0.763
0.266 0.763 0.266
0.734 0.237 0.734
0.734 0.734 0.237
0.763 0.266 0.266
0.763 0.763 0.763
0.000 0.000 0.500
0.000 0.500 0.000
0.500 0.000 0.000
0.500 0.500 0.500
0.000 0.000 0.000
0.000 0.500 0.500
0.500 0.000 0.500
0.500 0.500 0.000
```


Raw formation energy? In order: -1.53 -1.84 -1.90 -1.99 -1.27 -1.27 -1.49 -1.23 eV per atom.